(1)
Density functional theory data (GGA-PBE) for a relaxed Rb3Pa2S7 crystal.

The calculation puts the calculated density at 3.2 g/cm³. Its energy relative to the lowest polymorph listed for this composition is 4 meV per atom. As for the formation energy without anion corrections: -1403 meV per atom. The value obtained for the total moment is 0.00 μB/f.u.

It has space group Cmmm (No. 65), with a = 5.303 Å, b = 35.316 Å, c = 5.305 Å, α = 90.00°, β = 90.00° and γ = 90.00°. The distinct sites, in fractional coordinates, are Rb at (0.000, 0.000, 0.000), Rb at (0.000, 0.142, 0.000), Pa at (0.000, 0.424, 0.500), S at (0.000, 0.073, 0.500), S at (0.000, 0.353, 0.500), S at (0.000, 0.427, 0.000) and S at (0.000, 0.500, 0.500).

(2)
Density functional theory data (GGA-PBE) for a relaxed RbPa4S8 crystal.

The calculation puts the calculated density at 5.1 g/cm³. Its energy relative to the lowest polymorph listed for this composition is 62 meV per atom. As for the formation energy without anion corrections: -1500 meV per atom. The value obtained for the total moment is 5.02 μB/f.u.

It has space group F-43m (No. 216), with a = 11.815 Å, b = 11.815 Å, c = 11.815 Å, α = 90.00°, β = 90.00° and γ = 90.00°. The distinct sites, in fractional coordinates, are Rb at (0.000, 0.000, 0.000), Pa at (0.123, 0.123, 0.623), S at (0.108, 0.108, 0.392) and S at (0.147, 0.147, 0.853).

(3)
Density functional theory data (GGA-PBE) for a relaxed RbPa6S8 crystal.

The calculation puts the calculated density at 6.6 g/cm³. As for the formation energy without anion corrections: -1179 meV per atom. The value obtained for the total moment is 2.61 μB/f.u.

It has space group R-3 (No. 148, hexagonal axes), with a = 10.6880 Å, b = 10.6880 Å, c = 13.2203 Å, α = 90.00°, β = 90.00° and γ = 120.00°. The distinct sites, in fractional coordinates, are Rb at (0.0000, 0.0000, 0.0000), Pa at (0.0136, 0.1970, 0.4182), S at (0.0000, 0.0000, 0.2810) and S at (0.0159, 0.3731, 0.2702).

(4)
Density functional theory data (GGA-PBE) for a relaxed Rb3Pa2S6 crystal.

The calculation puts the calculated density at 4.0 g/cm³. As for the formation energy without anion corrections: -1426 meV per atom. The value obtained for the total moment is 1.11 μB/f.u.

It has space group I4/mmm (No. 139), with a = 5.251 Å, b = 5.251 Å, c = 27.102 Å, α = 90.00°, β = 90.00° and γ = 90.00°. The distinct sites, in fractional coordinates, are Rb at (0.000, 0.000, 0.000), Rb at (0.000, 0.000, 0.184), Pa at (0.000, 0.000, 0.401), S at (0.000, 0.000, 0.310) and S at (0.000, 0.500, 0.083).

(5)
Density functional theory data (GGA-PBE) for a relaxed Rb2Pa2S5 crystal.

The calculation puts the calculated density at 5.5 g/cm³. Its energy relative to the lowest polymorph listed for this composition is 0 meV per atom. As for the formation energy without anion corrections: -1567 meV per atom. The value obtained for the total moment is 1.97 μB/f.u.

It has space group Cmce (No. 64), with a = 16.186 Å, b = 7.669 Å, c = 7.674 Å, α = 90.00°, β = 90.00° and γ = 90.00°. The distinct sites, in fractional coordinates, are Rb at (0.207, 0.000, 0.000), Pa at (0.000, 0.161, 0.339), S at (0.000, 0.000, 0.000) and S at (0.106, 0.144, 0.644).

(6)
Density functional theory data (GGA-PBE) for a relaxed Rb2PaSbS4 crystal.

The calculation puts the calculated density at 3.9 g/cm³. As for the formation energy without anion corrections: -943 meV per atom. The value obtained for the total moment is 0.13 μB/f.u.

It has space group I-4 (No. 82), with a = 8.083 Å, b = 8.083 Å, c = 8.484 Å, α = 90.00°, β = 90.00° and γ = 90.00°. The distinct sites, in fractional coordinates, are Rb at (0.000, 0.000, 0.000), Rb at (0.000, 0.500, 0.250), Pa at (0.000, 0.500, 0.750), Sb at (0.000, 0.000, 0.500) and S at (0.152, 0.300, 0.567).

(7)
Density functional theory data (GGA-PBE) for a relaxed Rb2PaSb2S6 crystal.

The calculation puts the calculated density at 4.1 g/cm³. As for the formation energy without anion corrections: -954 meV per atom. The value obtained for the total moment is 1.06 μB/f.u.

It has space group C2/m (No. 12), with a = 7.102 Å, b = 12.214 Å, c = 8.192 Å, α = 90.00°, β = 107.46° and γ = 90.00°. The distinct sites, in fractional coordinates, are Rb at (0.000, 0.171, 0.000), Pa at (0.000, 0.000, 0.500), Sb at (0.000, 0.332, 0.500), S at (0.225, 0.164, 0.686) and S at (0.245, 0.500, 0.687).

(8)
Density functional theory data (GGA-PBE) for a relaxed RbPa2SbS8 crystal.

The calculation puts the calculated density at 4.6 g/cm³. As for the formation energy without anion corrections: -904 meV per atom. The value obtained for the total moment is 0.00 μB/f.u.

It has space group P2/m (No. 10), with a = 6.218 Å, b = 8.480 Å, c = 6.286 Å, α = 90.00°, β = 94.04° and γ = 90.00°. The distinct sites, in fractional coordinates, are Rb at (0.000, 0.000, 0.000), Pa at (0.500, 0.251, 0.500), Sb at (0.000, 0.500, 0.000), S at (0.257, 0.500, 0.633), S at (0.262, 0.293, 0.147) and S at (0.287, 0.000, 0.616).

(9)
Density functional theory data (GGA-PBE) for a relaxed RbScPaS4 crystal.

The calculation puts the calculated density at 4.1 g/cm³. As for the formation energy without anion corrections: -1577 meV per atom. The value obtained for the total moment is 1.03 μB/f.u.

It has space group Imma (No. 74), with a = 8.166 Å, b = 8.702 Å, c = 11.298 Å, α = 90.00°, β = 90.00° and γ = 90.00°. The distinct sites, in fractional coordinates, are Rb at (0.000, 0.250, 0.145), Sc at (0.250, 0.250, 0.750), Pa at (0.000, 0.000, 0.500), S at (0.000, 0.058, 0.736) and S at (0.206, 0.250, 0.516).

(10)
Density functional theory data (GGA-PBE) for a relaxed Rb2Sc2PaS6 crystal.

The calculation puts the calculated density at 3.7 g/cm³. As for the formation energy without anion corrections: -1724 meV per atom. The value obtained for the total moment is 1.11 μB/f.u.

It has space group C2/m (No. 12), with a = 6.686 Å, b = 11.636 Å, c = 8.183 Å, α = 90.00°, β = 105.99° and γ = 90.00°. The distinct sites, in fractional coordinates, are Rb at (0.000, 0.167, 0.000), Sc at (0.000, 0.333, 0.500), Pa at (0.000, 0.000, 0.500), S at (0.220, 0.500, 0.683) and S at (0.231, 0.171, 0.682).

(11)
Density functional theory data (GGA-PBE) for a relaxed Rb2ScPaS4 crystal.

The calculation puts the calculated density at 4.5 g/cm³. As for the formation energy without anion corrections: -1565 meV per atom. The value obtained for the total moment is 1.95 μB/f.u.

It has space group P2/m (No. 10), with a = 6.858 Å, b = 3.966 Å, c = 8.057 Å, α = 90.00°, β = 106.34° and γ = 90.00°. The distinct sites, in fractional coordinates, are Rb at (0.000, 0.000, 0.000), Rb at (0.500, 0.500, 0.000), Sc at (0.000, 0.500, 0.500), Pa at (0.500, 0.000, 0.500), S at (0.222, 0.000, 0.687) and S at (0.258, 0.500, 0.306).

(12)
Density functional theory data (GGA-PBE) for a relaxed Rb3ScPa3S8 crystal.

The calculation puts the calculated density at 4.8 g/cm³. As for the formation energy without anion corrections: -1571 meV per atom. The value obtained for the total moment is 5.05 μB/f.u.

It has space group R-3m (No. 166, hexagonal axes), with a = 7.9271 Å, b = 7.9271 Å, c = 23.7987 Å, α = 90.00°, β = 90.00° and γ = 120.00°. The distinct sites, in fractional coordinates, are Rb at (0.0000, 0.5000, 0.0000), Sc at (0.0000, 0.0000, 0.5000), Pa at (0.0000, 0.5000, 0.5000), S at (0.0000, 0.0000, 0.2332) and S at (0.0112, 0.5056, 0.2287).